FeCuPt2 (PBE-GGA, relaxed); density = 14.99 Mg/m³; E_tot = -6.255 eV/atom; M_tot = 3.146 μB/f.u.; energy of formation from the pure elements = -0.095 eV/atom
1.0
8.873 -0.014 -0.008
8.457 2.686 -0.008
8.457 1.304 2.349
Cu Fe Pt
1 1 2
Direct
0.497 0.497 0.497
0.753 0.753 0.753
0.006 0.006 0.006
0.245 0.245 0.245